No. 1
Density functional theory data (GGA-PBE) for an optimized crystal structure of ScGe2Pt2. Values from VASP.

Cell and atoms, written as Quantum ESPRESSO input:
```
&SYSTEM
  ibrav = 0, nat = 10, ntyp = 3
/
ATOMIC_SPECIES
Sc 44.96 Sc.upf
Ge 72.64 Ge.upf
Pt 195.08 Pt.upf
CELL_PARAMETERS angstrom
-6.4157 1.4181 -2.9260
-2.8740 -5.5005 3.6358
-0.7305 2.1195 2.6290
ATOMIC_POSITIONS crystal
Sc 0.0000 0.0000 0.0000
Sc 0.5000 0.5000 0.0000
Ge 0.1688 0.6688 0.5000
Ge 0.6688 0.8312 0.5000
Ge 0.8312 0.3312 0.5000
Ge 0.3312 0.1688 0.5000
Pt 0.3637 0.8637 0.0000
Pt 0.8637 0.6363 0.0000
Pt 0.6363 0.1363 0.0000
Pt 0.1363 0.3637 0.0000
```

- total DFT energy (no corrections) (eV per formula unit) = -30.009
- Fermi-level density of states (states/eV/f.u.) = 3.9
- DFT formation energy (eV per atom) = -0.4722



No. 2
Density functional theory data (GGA-PBE) for an optimized crystal structure of Sc2GePt2. Values from VASP.

Cell and atoms, written as Quantum ESPRESSO input:
```
&SYSTEM
  ibrav = 0, nat = 10, ntyp = 3
/
ATOMIC_SPECIES
Sc 44.96 Sc.upf
Ge 72.64 Ge.upf
Pt 195.08 Pt.upf
CELL_PARAMETERS angstrom
-1.1384 -6.9999 2.2143
7.2919 -0.8171 1.1658
-0.3861 1.0621 3.1590
ATOMIC_POSITIONS crystal
Sc 0.1685 0.6685 0.5000
Sc 0.6685 0.8315 0.5000
Sc 0.8315 0.3315 0.5000
Sc 0.3315 0.1685 0.5000
Ge 0.0000 0.0000 0.0000
Ge 0.5000 0.5000 0.0000
Pt 0.3674 0.8674 0.0000
Pt 0.8674 0.6326 0.0000
Pt 0.6326 0.1326 0.0000
Pt 0.1326 0.3674 0.0000
```

- total DFT energy (no corrections) (eV per formula unit) = -34.349
- Fermi-level density of states (states/eV/f.u.) = 1.8
- DFT formation energy (eV per atom) = -0.9975



No. 3
Density functional theory data (GGA-PBE) for an optimized crystal structure of Sc5Ge5Pt2. Values from VASP.

Cell and atoms, written as Quantum ESPRESSO input:
```
&SYSTEM
  ibrav = 0, nat = 12, ntyp = 3
/
ATOMIC_SPECIES
Sc 44.96 Sc.upf
Ge 72.64 Ge.upf
Pt 195.08 Pt.upf
CELL_PARAMETERS angstrom
4.1057 0.0000 0.9263
2.1360 7.2705 0.0948
0.4269 -0.8529 7.6703
ATOMIC_POSITIONS crystal
Sc 0.0000 0.5000 0.5000
Sc 0.6973 0.6858 0.9196
Sc 0.3501 0.9713 0.3286
Sc 0.6499 0.0287 0.6714
Sc 0.3027 0.3142 0.0804
Ge 0.7065 0.2323 0.3547
Ge 0.9688 0.2723 0.7900
Ge 0.0312 0.7277 0.2100
Ge 0.2935 0.7677 0.6453
Ge 0.0000 0.0000 0.0000
Pt 0.4064 0.4466 0.7406
Pt 0.5936 0.5534 0.2594
```

- total DFT energy (no corrections) (eV per formula unit) = -77.005
- Fermi-level density of states (states/eV/f.u.) = 4.3
- DFT formation energy (eV per atom) = -0.8483



No. 4
Density functional theory data (GGA-PBE) for an optimized crystal structure of ScGe2Pt. Values from VASP.

Cell and atoms, written as Quantum ESPRESSO input:
```
&SYSTEM
  ibrav = 0, nat = 4, ntyp = 3
/
ATOMIC_SPECIES
Sc 44.96 Sc.upf
Ge 72.64 Ge.upf
Pt 195.08 Pt.upf
CELL_PARAMETERS angstrom
-1.0579 -2.2807 -1.9585
1.9445 -1.2394 -2.1999
3.0141 -7.6130 4.6445
ATOMIC_POSITIONS crystal
Sc 0.0000 0.0000 0.0000
Ge 0.0992 0.0992 0.7024
Ge 0.9008 0.9008 0.2976
Pt 0.5000 0.5000 0.5000
```

- total DFT energy (no corrections) (eV per formula unit) = -21.953
- Fermi-level density of states (states/eV/f.u.) = 2.8
- DFT formation energy (eV per atom) = -0.0864



No. 5
Density functional theory data (GGA-PBE) for an optimized crystal structure of Sc6Ge2PtSe3. Values from VASP.

Cell and atoms, written as Quantum ESPRESSO input:
```
&SYSTEM
  ibrav = 0, nat = 12, ntyp = 4
/
ATOMIC_SPECIES
Sc 44.96 Sc.upf
Ge 72.64 Ge.upf
Pt 195.08 Pt.upf
Se 78.96 Se.upf
CELL_PARAMETERS angstrom
3.8559 0.0000 0.0000
0.0000 7.8699 0.1326
-1.9280 -2.4235 8.2236
ATOMIC_POSITIONS crystal
Sc 0.3345 0.9110 0.6690
Sc 0.6695 0.5753 0.3391
Sc 0.6655 0.0890 0.3310
Sc 0.0015 0.2440 0.0030
Sc 0.9985 0.7560 0.9970
Sc 0.3305 0.4247 0.6609
Ge 0.8347 0.6695 0.6694
Ge 0.1653 0.3305 0.3306
Pt 0.5000 0.0000 0.0000
Se 0.5000 0.5000 0.0000
Se 0.8323 0.1686 0.6645
Se 0.1677 0.8314 0.3355
```

- total DFT energy (no corrections) (eV per formula unit) = -78.709
- E_form (uncorrected) (meV/atom) = -1249
- Fermi-level density of states (states/eV/f.u.) = 6.1



No. 6
Density functional theory data (GGA-PBE) for an optimized crystal structure of ScSi2GePt. Values from VASP.

Cell and atoms, written as Quantum ESPRESSO input:
```
&SYSTEM
  ibrav = 0, nat = 5, ntyp = 4
/
ATOMIC_SPECIES
Sc 44.96 Sc.upf
Ge 72.64 Ge.upf
Si 28.09 Si.upf
Pt 195.08 Pt.upf
CELL_PARAMETERS angstrom
-1.1467 1.2332 -4.5930
-1.3116 -4.6846 -0.9303
-4.5758 1.0009 1.4111
ATOMIC_POSITIONS crystal
Sc 0.0000 0.0000 0.0000
Ge 0.0000 0.5000 0.0000
Si 0.0000 0.0000 0.5000
Si 0.5000 0.0000 0.0000
Pt 0.5000 0.5000 0.5000
```

- total DFT energy (no corrections) (eV per formula unit) = -22.152
- E_form (uncorrected) (meV/atom) = 1137
- Fermi-level density of states (states/eV/f.u.) = 4.6



No. 7
Density functional theory data (GGA-PBE) for an optimized crystal structure of SmScGe2Pt5. Values from VASP.

Cell and atoms, written as Quantum ESPRESSO input:
```
&SYSTEM
  ibrav = 0, nat = 9, ntyp = 4
/
ATOMIC_SPECIES
Sm 150.36 Sm.upf
Sc 44.96 Sc.upf
Ge 72.64 Ge.upf
Pt 195.08 Pt.upf
CELL_PARAMETERS angstrom
-3.3959 1.7629 -1.7724
0.7705 -2.1060 -3.5710
-5.1605 -6.9433 2.9812
ATOMIC_POSITIONS crystal
Sm 0.0000 0.0000 0.5000
Sc 0.0000 0.0000 0.0000
Ge 0.5000 0.5000 0.1294
Ge 0.5000 0.5000 0.8706
Pt 0.0000 0.5000 0.2676
Pt 0.5000 0.0000 0.2676
Pt 0.0000 0.5000 0.7324
Pt 0.5000 0.0000 0.7324
Pt 0.5000 0.5000 0.5000
```

- total DFT energy (no corrections) (eV per formula unit) = -57.809
- Fermi-level density of states (states/eV/f.u.) = 4.1
- DFT formation energy (eV per atom) = -0.8132



No. 8
Density functional theory data (GGA-PBE) for an optimized crystal structure of SmScGePt. Values from VASP.

Cell and atoms, written as Quantum ESPRESSO input:
```
&SYSTEM
  ibrav = 0, nat = 4, ntyp = 4
/
ATOMIC_SPECIES
Sc 44.96 Sc.upf
Ge 72.64 Ge.upf
Sm 150.36 Sm.upf
Pt 195.08 Pt.upf
CELL_PARAMETERS angstrom
4.9345 0.0000 0.0000
2.4672 4.2734 0.0000
2.4672 1.4245 4.0290
ATOMIC_POSITIONS crystal
Sc 0.5000 0.5000 0.5000
Ge 0.7500 0.7500 0.7500
Sm 0.0000 0.0000 0.0000
Pt 0.2500 0.2500 0.2500
```

- total DFT energy (no corrections) (eV per formula unit) = -25.139
- Fermi-level density of states (states/eV/f.u.) = 1.4
- DFT formation energy (eV per atom) = -0.8575